(1)
Material: Pm2MgAl3Pd4
Method: DFT, PBE-GGA
State: optimized geometry

abc: 4.345 4.345 10.428
angles: 90.00 90.00 90.00
Space group P-4m2 (No. 115)
Asymmetric unit:
Pm 0.000 0.500 0.241
Mg 0.000 0.000 0.500
Al 0.000 0.500 0.877
Al 0.500 0.500 0.500
Pd 0.000 0.000 0.000
Pd 0.000 0.500 0.639
Pd 0.500 0.500 0.000

Values from the calculation:
- Total moment: 0.0 μB/f.u.
- Fermi-level density of states: 0.64 states/eV/atom
- Electronic total energy: -5.113 eV/atom

---

(2)
Material: Pm2MgAl2Pd5
Method: DFT, PBE-GGA
State: optimized geometry

abc: 10.440 10.440 3.462
angles: 90.00 90.00 90.00
Space group P4/mbm (No. 127)
Asymmetric unit:
Pm 0.176 0.324 0.000
Mg 0.000 0.000 0.000
Al 0.124 0.624 0.000
Pd 0.000 0.500 0.500
Pd 0.060 0.791 0.500

Values from the calculation:
- Total moment: 0.0 μB/f.u.
- Fermi-level density of states: 0.59 states/eV/atom
- Electronic total energy: -5.199 eV/atom

---

(3)
Material: PmMg2AlPd4
Method: DFT, PBE-GGA
State: optimized geometry

abc: 4.5407 4.5407 24.1439
angles: 90.00 90.00 120.00
Space group R-3m (No. 166, hexagonal axes)
Asymmetric unit:
Pm 0.0000 0.0000 0.0000
Mg 0.0000 0.0000 0.2419
Al 0.0000 0.0000 0.5000
Pd 0.0000 0.0000 0.1306
Pd 0.0000 0.0000 0.3964

Values from the calculation:
- Total moment: 0.0 μB/f.u.
- Fermi-level density of states: 0.60 states/eV/atom
- Electronic total energy: -4.807 eV/atom

---

(4)
Material: PmMgAlPd2
Method: DFT, PBE-GGA
State: optimized geometry

abc: 4.115 4.115 11.914
angles: 90.00 90.00 90.00
Space group I-4m2 (No. 119)
Asymmetric unit:
Pm 0.000 0.000 0.000
Mg 0.000 0.500 0.750
Al 0.000 0.500 0.250
Pd 0.000 0.000 0.386

Values from the calculation:
- Total moment: 0.0 μB/f.u.
- Fermi-level density of states: 0.65 states/eV/atom
- Electronic total energy: -4.811 eV/atom

---

(5)
Material: Pr2MgAl2Pd5
Method: DFT, PBE-GGA
State: optimized geometry

abc: 10.581 10.581 3.427
angles: 90.00 90.00 90.00
Space group P4/mbm (No. 127)
Asymmetric unit:
Pr 0.177 0.323 0.000
Mg 0.000 0.000 0.000
Al 0.124 0.624 0.000
Pd 0.000 0.500 0.500
Pd 0.060 0.792 0.500

Values from the calculation:
- Total moment: 0.0 μB/f.u.
- Fermi-level density of states: 0.59 states/eV/atom
- Electronic total energy: -5.181 eV/atom

---

(6)
Material: Pr2MgAlPd6
Method: DFT, PBE-GGA
State: optimized geometry

abc: 9.986 5.767 8.593
angles: 90.00 112.65 90.00
Space group C2/m (No. 12)
Asymmetric unit:
Pr 0.209 0.000 0.127
Mg 0.000 0.000 0.500
Al 0.000 0.500 0.000
Pd 0.010 0.245 0.772
Pd 0.245 0.500 0.229

Values from the calculation:
- Total moment: 0.0 μB/f.u.
- Fermi-level density of states: 0.28 states/eV/atom
- Electronic total energy: -5.217 eV/atom

---

(7)
Material: Pr2MgAl4Pd3
Method: DFT, PBE-GGA
State: optimized geometry

abc: 4.285 4.285 11.101
angles: 90.00 90.00 90.00
Space group P-4m2 (No. 115)
Asymmetric unit:
Pr 0.000 0.500 0.237
Mg 0.000 0.000 0.500
Al 0.000 0.000 0.000
Al 0.000 0.500 0.649
Al 0.500 0.500 0.000
Pd 0.000 0.500 0.875
Pd 0.500 0.500 0.500

Values from the calculation:
- Total moment: 0.0 μB/f.u.
- Fermi-level density of states: 0.70 states/eV/atom
- Electronic total energy: -4.873 eV/atom

---

(8)
Material: PrMgAl2Pd4
Method: DFT, PBE-GGA
State: optimized geometry

abc: 4.3357 4.3357 26.5489
angles: 90.00 90.00 120.00
Space group R-3m (No. 166, hexagonal axes)
Asymmetric unit:
Pr 0.0000 0.0000 0.0000
Mg 0.0000 0.0000 0.5000
Al 0.0000 0.0000 0.2364
Pd 0.0000 0.0000 0.1309
Pd 0.0000 0.0000 0.4024

Values from the calculation:
- Total moment: 0.0 μB/f.u.
- Fermi-level density of states: 0.45 states/eV/atom
- Electronic total energy: -5.139 eV/atom

---

(9)
Material: Pr2MgAl3Pd4
Method: DFT, PBE-GGA
State: optimized geometry

abc: 4.383 4.383 10.435
angles: 90.00 90.00 90.00
Space group P-4m2 (No. 115)
Asymmetric unit:
Pr 0.000 0.500 0.241
Mg 0.000 0.000 0.500
Al 0.000 0.500 0.879
Al 0.500 0.500 0.500
Pd 0.000 0.000 0.000
Pd 0.000 0.500 0.638
Pd 0.500 0.500 0.000

Values from the calculation:
- Total moment: 0.0 μB/f.u.
- Fermi-level density of states: 0.65 states/eV/atom
- Electronic total energy: -5.114 eV/atom

---

(10)
Material: MgAlPdPt
Method: DFT, PBE-GGA
State: optimized geometry

abc: 6.234 6.234 6.234
angles: 90.00 90.00 90.00
Space group F-43m (No. 216)
Asymmetric unit:
Mg 0.000 0.000 0.000
Al 0.000 0.000 0.500
Pd 0.250 0.250 0.250
Pt 0.250 0.250 0.750

Values from the calculation:
- Total moment: 0.0 μB/f.u.
- Fermi-level density of states: 0.48 states/eV/atom
- Electronic total energy: -5.053 eV/atom

---

(11)
Material: PuMgAl2Pd2
Method: DFT, PBE-GGA
State: optimized geometry

abc: 4.4374 4.4374 6.7232
angles: 90.00 90.00 120.00
Space group P-3m1 (No. 164)
Asymmetric unit:
Pu 0.0000 0.0000 0.0000
Mg 0.0000 0.0000 0.5000
Al 0.3333 0.6667 0.7024
Pd 0.3333 0.6667 0.3015

Values from the calculation:
- Total moment: 5.8 μB/f.u.
- Fermi-level density of states: 2.47 states/eV/atom
- Electronic total energy: -6.174 eV/atom

---

(12)
Material: Rb2MgAlPd
Method: DFT, PBE-GGA
State: optimized geometry

abc: 6.852 6.852 4.834
angles: 90.00 90.00 90.00
Space group P4/mmm (No. 123)
Asymmetric unit:
Rb 0.000 0.500 0.000
Mg 0.000 0.000 0.000
Al 0.500 0.500 0.500
Pd 0.000 0.000 0.500

Values from the calculation:
- Total moment: 0.0 μB/f.u.
- Fermi-level density of states: 0.74 states/eV/atom
- Electronic total energy: -1.942 eV/atom